Here is a relaxed structure of NaDy2Sc from the Alexandria database. Energies are from GGA-PBE.

Properties
total DFT energy (no corrections)	-0.1490	hartree per atom
E above lowest polymorph	7	meV per atom
energy of formation from the pure elements	160	meV per atom
N(E_F)	13.6	states/eV/cell

Unit cell a=3.4186 b=3.4186 c=36.9741 alpha=90.00 beta=90.00 gamma=120.00
Closest atoms and distances in Å follow each position.
Fractional positions:
Na  0.0000  0.0000  0.0000  6 Na 3.42, 2 Dy 3.50
Na  0.3333  0.6667  0.6667  6 Na 3.42, 2 Dy 3.50
Na  0.6667  0.3333  0.3333  6 Na 3.42, 2 Dy 3.50
Dy  0.0000  0.0000  0.0946  3 Sc 3.32, 6 Dy 3.42, 1 Na 3.50
Dy  0.0000  0.0000  0.9054  3 Sc 3.32, 6 Dy 3.42, 1 Na 3.50
Dy  0.3333  0.6667  0.5721  3 Sc 3.32, 6 Dy 3.42, 1 Na 3.50
Dy  0.3333  0.6667  0.7613  3 Sc 3.32, 6 Dy 3.42, 1 Na 3.50
Dy  0.6667  0.3333  0.2387  3 Sc 3.32, 6 Dy 3.42, 1 Na 3.50
Dy  0.6667  0.3333  0.4279  3 Sc 3.32, 6 Dy 3.42, 1 Na 3.50
Sc  0.0000  0.0000  0.5000  6 Dy 3.32, 6 Sc 3.42
Sc  0.3333  0.6667  0.1667  6 Dy 3.32, 6 Sc 3.42
Sc  0.6667  0.3333  0.8333  6 Dy 3.32, 6 Sc 3.42